Density functional theory data (PBE-GGA) for an optimized crystal structure of GaCuTcRu.

Values from the calculation:
Total energy (eV for the cell shown): -106.12
ρ (Mg/m³): 9.9
ΔE_f (eV per atom): 0.059
M_tot (μB per formula unit): 0.000

a b c (Å): 6.056 6.056 6.056
angles (deg): 90.00 90.00 90.00
Space group F-43m (No. 216)
Asymmetric unit:
Ga (0.000, 0.000, 0.000) (multiplicity 4)
Cu (0.250, 0.250, 0.250) (multiplicity 4)
Tc (0.000, 0.000, 0.500) (multiplicity 4)
Ru (0.250, 0.250, 0.750) (multiplicity 4)